The following is a PBE calculation of crystalline Hf3TaPt at its relaxed geometry, from the Alexandria database.

## Properties
electronic total energy = -42.2 eV per cell
formation enthalpy at 0 K = 532 kJ/mol of formula units
size of the total moment = 0.00 Bohr magnetons per cell
ΔE to the lowest computed polymorph = 472.9 meV per atom
symmetry = Pm-3m, No. 221
calculated volume = 124.36 Å³ per cell

POSCAR file:
```
Hf3TaPt
1.0
4.992 0.000 0.000
0.000 4.992 0.000
0.000 0.000 4.992
Hf Ta Pt
3 1 1
direct
0.000 0.000 0.500
0.000 0.500 0.000
0.500 0.000 0.000
0.000 0.000 0.000
0.500 0.500 0.500
```


The following is a PBE calculation of crystalline TeH2Au at its relaxed geometry, from the Alexandria database.

## Properties
electronic total energy = -12.3 eV per cell
size of the total moment = 0.00 Bohr magnetons per cell
ΔE to the lowest computed polymorph = 0.0 meV per atom
symmetry = P-1, No. 2
calculated volume = 66.45 Å³ per cell

POSCAR file:
```
TeH2Au
1.0
3.140 0.000 0.000
0.183 4.688 0.000
0.195 1.342 4.514
Te H Au
1 2 1
direct
0.000 0.000 0.000
0.008 0.728 0.732
0.992 0.272 0.268
0.000 0.500 0.500
```


The following is a PBE calculation of crystalline Zr2Sc3Ag3 at its relaxed geometry, from the Alexandria database.

## Properties
electronic total energy = -45.9 eV per cell
formation enthalpy at 0 K = -126 kJ/mol of formula units
size of the total moment = 0.01 Bohr magnetons per cell
symmetry = Immm, No. 71
calculated volume = 168.29 Å³ per cell

POSCAR file:
```
Zr2Sc3Ag3
1.0
-1.707 2.436 10.120
1.707 -2.436 10.120
1.707 2.436 -10.120
Zr Sc Ag
2 3 3
direct
0.241 0.241 0.000
0.759 0.759 0.000
0.000 0.000 0.000
0.376 0.876 0.500
0.624 0.124 0.500
0.120 0.620 0.500
0.500 0.500 0.000
0.880 0.380 0.500
```


The following is a PBE calculation of crystalline Ta2Ni4Ru at its relaxed geometry, from the Alexandria database.

## Properties
electronic total energy = -57.0 eV per cell
formation enthalpy at 0 K = -84 kJ/mol of formula units
size of the total moment = 0.00 Bohr magnetons per cell
symmetry = I4/mmm, No. 139
calculated volume = 94.81 Å³ per cell

POSCAR file:
```
Ta2Ni4Ru
1.0
-1.671 1.671 8.490
1.671 -1.671 8.490
1.671 1.671 -8.490
Ta Ni Ru
2 4 1
direct
0.096 0.096 0.000
0.904 0.904 0.000
0.250 0.750 0.500
0.350 0.350 0.000
0.650 0.650 0.000
0.750 0.250 0.500
0.500 0.500 0.000
```


The following is a PBE calculation of crystalline AcTb2IrN4 at its relaxed geometry, from the Alexandria database.

## Properties
formation energy without anion corrections = -0.896 eV per atom
electronic total energy = -125.4 eV per cell
size of the total moment = 0.00 Bohr magnetons per cell
symmetry = Cmcm, No. 63
calculated volume = 249.12 Å³ per cell

POSCAR file:
```
AcTb2IrN4
1.0
1.751 -6.057 0.000
1.751 6.057 0.000
0.000 0.000 11.746
Ac Tb Ir N
2 4 2 8
direct
0.106 0.894 0.750
0.894 0.106 0.250
0.370 0.630 0.545
0.370 0.630 0.955
0.630 0.370 0.045
0.630 0.370 0.455
0.154 0.846 0.250
0.846 0.154 0.750
0.000 0.000 0.000
0.000 0.000 0.500
0.269 0.731 0.123
0.269 0.731 0.377
0.438 0.562 0.750
0.562 0.438 0.250
0.731 0.269 0.623
0.731 0.269 0.877
```


The following is a PBE calculation of crystalline NaSeO2 at its relaxed geometry, from the Alexandria database.

## Properties
formation energy without anion corrections = -0.425 eV per atom
electronic total energy = -16.4 eV per cell
size of the total moment = 0.00 Bohr magnetons per cell
symmetry = R-3m, No. 166
calculated volume = 61.92 Å³ per cell

POSCAR file:
```
NaSeO2
1.0
1.704 0.984 6.158
-1.704 0.984 6.158
0.000 -1.967 6.158
Na Se O
1 1 2
direct
0.000 0.000 0.000
0.500 0.500 0.500
0.115 0.115 0.115
0.885 0.885 0.885
```


The following is a PBE calculation of crystalline SmPuNi at its relaxed geometry, from the Alexandria database.

## Properties
electronic total energy = -24.9 eV per cell
formation enthalpy at 0 K = -6 kJ/mol of formula units
size of the total moment = 6.16 Bohr magnetons per cell
symmetry = I4mm, No. 107
calculated volume = 71.03 Å³ per cell

POSCAR file:
```
SmPuNi
1.0
-1.719 1.719 6.007
1.719 -1.719 6.007
1.719 1.719 -6.007
Sm Pu Ni
1 1 1
direct
0.000 0.000 0.000
0.271 0.271 0.000
0.637 0.637 0.000
```


The following is a PBE calculation of crystalline Pu2Si6NiIr at its relaxed geometry, from the Alexandria database.

## Properties
formation energy without anion corrections = -0.386 eV per atom
electronic total energy = -159.4 eV per cell
size of the total moment = 22.04 Bohr magnetons per cell
symmetry = R-3m, No. 166
calculated volume = 354.32 Å³ per cell

POSCAR file:
```
Pu2Si6NiIr
1.0
2.912 1.681 12.064
-2.912 1.681 12.064
0.000 -3.362 12.064
Pu Si Ni Ir
4 12 2 2
direct
0.127 0.127 0.127
0.279 0.279 0.279
0.721 0.721 0.721
0.873 0.873 0.873
0.070 0.661 0.661
0.188 0.188 0.778
0.188 0.778 0.188
0.222 0.812 0.812
0.339 0.339 0.930
0.339 0.930 0.339
0.661 0.070 0.661
0.661 0.661 0.070
0.778 0.188 0.188
0.812 0.222 0.812
0.812 0.812 0.222
0.930 0.339 0.339
0.000 0.000 0.000
0.500 0.500 0.500
0.422 0.422 0.422
0.578 0.578 0.578
```


The following is a PBE calculation of crystalline La2Ce3PuAs6 at its relaxed geometry, from the Alexandria database.

## Properties
electronic total energy = -86.6 eV per cell
formation enthalpy at 0 K = -1611 kJ/mol of formula units
size of the total moment = 3.87 Bohr magnetons per cell
symmetry = C2/m, No. 12
calculated volume = 328.28 Å³ per cell

POSCAR file:
```
La2Ce3PuAs6
1.0
9.293 -2.129 0.000
9.293 2.129 0.000
-1.973 0.000 8.295
La Ce Pu As
2 3 1 6
direct
0.166 0.166 0.332
0.834 0.834 0.668
0.167 0.167 0.834
0.500 0.500 0.500
0.833 0.833 0.166
0.500 0.500 0.000
0.003 0.003 0.754
0.334 0.334 0.924
0.336 0.336 0.410
0.664 0.664 0.590
0.666 0.666 0.076
0.997 0.997 0.246
```


The following is a PBE calculation of crystalline YSc2Au at its relaxed geometry, from the Alexandria database.

## Properties
electronic total energy = -48.1 eV per cell
formation enthalpy at 0 K = -159 kJ/mol of formula units
size of the total moment = 0.00 Bohr magnetons per cell
ΔE to the lowest computed polymorph = 9.1 meV per atom
symmetry = Cmcm, No. 63
calculated volume = 194.71 Å³ per cell

POSCAR file:
```
YSc2Au
1.0
1.776 -5.996 0.000
1.776 5.996 0.000
0.000 0.000 9.139
Y Sc Au
2 4 2
direct
0.051 0.949 0.750
0.949 0.051 0.250
0.364 0.636 0.553
0.364 0.636 0.947
0.636 0.364 0.053
0.636 0.364 0.447
0.242 0.758 0.250
0.758 0.242 0.750
```


The following is a PBE calculation of crystalline LiIn3Hg2 at its relaxed geometry, from the Alexandria database.

## Properties
electronic total energy = -22.5 eV per cell
formation enthalpy at 0 K = -51 kJ/mol of formula units
size of the total moment = 0.00 Bohr magnetons per cell
ΔE to the lowest computed polymorph = 9.7 meV per atom
symmetry = C2/m, No. 12
calculated volume = 296.74 Å³ per cell

POSCAR file:
```
LiIn3Hg2
1.0
7.366 -1.633 0.000
7.366 1.633 0.000
-4.019 0.000 12.334
Li In Hg
2 6 4
direct
0.078 0.078 0.177
0.922 0.922 0.823
0.113 0.113 0.541
0.246 0.246 0.833
0.449 0.449 0.276
0.551 0.551 0.724
0.754 0.754 0.167
0.887 0.887 0.459
0.106 0.106 0.971
0.329 0.329 0.640
0.671 0.671 0.360
0.894 0.894 0.029
```


The following is a PBE calculation of crystalline LiScMnSi at its relaxed geometry, from the Alexandria database.

## Properties
formation energy without anion corrections = -0.275 eV per atom
electronic total energy = -23.9 eV per cell
size of the total moment = 2.78 Bohr magnetons per cell
symmetry = F-43m, No. 216
calculated volume = 59.45 Å³ per cell

POSCAR file:
```
LiScMnSi
1.0
0.000 3.098 3.098
3.098 0.000 3.098
3.098 3.098 0.000
Li Sc Mn Si
1 1 1 1
direct
0.000 0.000 0.000
0.750 0.750 0.750
0.250 0.250 0.250
0.500 0.500 0.500
```


The following is a PBE calculation of crystalline Ag4Hg3Pd4 at its relaxed geometry, from the Alexandria database.

## Properties
electronic total energy = -34.0 eV per cell
formation enthalpy at 0 K = -84 kJ/mol of formula units
size of the total moment = 0.00 Bohr magnetons per cell
symmetry = P-1, No. 2
calculated volume = 195.40 Å³ per cell

POSCAR file:
```
Ag4Hg3Pd4
1.0
3.024 0.000 0.000
-0.017 4.006 0.000
-1.465 -2.007 16.128
Ag Hg Pd
4 3 4
direct
0.090 0.091 0.180
0.272 0.272 0.544
0.728 0.728 0.456
0.910 0.909 0.820
0.000 0.000 0.000
0.362 0.362 0.724
0.638 0.638 0.276
0.182 0.183 0.365
0.454 0.454 0.909
0.546 0.546 0.091
0.818 0.817 0.635
```


The following is a PBE calculation of crystalline LiU2Au6 at its relaxed geometry, from the Alexandria database.

## Properties
electronic total energy = -46.5 eV per cell
formation enthalpy at 0 K = -231 kJ/mol of formula units
size of the total moment = 6.21 Bohr magnetons per cell
symmetry = C2/m, No. 12
calculated volume = 181.60 Å³ per cell

POSCAR file:
```
LiU2Au6
1.0
7.299 -4.215 0.000
7.299 4.215 0.000
-0.004 0.000 2.951
Li U Au
1 2 6
direct
0.000 0.000 0.000
0.333 0.333 0.000
0.667 0.667 0.000
0.000 0.329 0.499
0.000 0.671 0.501
0.329 0.000 0.499
0.329 0.671 0.500
0.671 0.000 0.501
0.671 0.329 0.500
```


The following is a PBE calculation of crystalline HfGeBi2As at its relaxed geometry, from the Alexandria database.

## Properties
electronic total energy = -23.8 eV per cell
formation enthalpy at 0 K = 311 kJ/mol of formula units
size of the total moment = 0.00 Bohr magnetons per cell
symmetry = P4/mmm, No. 123
calculated volume = 156.37 Å³ per cell

POSCAR file:
```
HfGeBi2As
1.0
5.588 0.000 0.000
0.000 5.588 0.000
0.000 0.000 5.008
Hf Ge Bi As
1 1 2 1
direct
0.000 0.000 0.000
0.500 0.500 0.000
0.000 0.500 0.500
0.500 0.000 0.500
0.000 0.000 0.500
```


The following is a PBE calculation of crystalline MgAs2SeBr at its relaxed geometry, from the Alexandria database.

## Properties
formation energy without anion corrections = 0.466 eV per atom
electronic total energy = -13.7 eV per cell
size of the total moment = 0.00 Bohr magnetons per cell
ΔE to the lowest computed polymorph = 0.0 meV per atom
symmetry = P4/mmm, No. 123
calculated volume = 129.57 Å³ per cell

POSCAR file:
```
MgAs2SeBr
1.0
5.186 0.000 0.000
0.000 5.186 0.000
0.000 0.000 4.818
Mg As Se Br
1 2 1 1
direct
0.000 0.000 0.000
0.000 0.500 0.000
0.500 0.000 0.000
0.500 0.500 0.500
0.000 0.000 0.500
```


The following is a PBE calculation of crystalline Y2CdTc at its relaxed geometry, from the Alexandria database.

## Properties
electronic total energy = -23.4 eV per cell
formation enthalpy at 0 K = 78 kJ/mol of formula units
size of the total moment = 0.00 Bohr magnetons per cell
symmetry = F-43m, No. 216
calculated volume = 88.37 Å³ per cell

POSCAR file:
```
Y2CdTc
1.0
0.000 3.535 3.535
3.535 0.000 3.535
3.535 3.535 0.000
Y Cd Tc
2 1 1
direct
0.000 0.000 0.000
0.250 0.250 0.250
0.750 0.750 0.750
0.500 0.500 0.500
```


The following is a PBE calculation of crystalline In3Ag3PdO8 at its relaxed geometry, from the Alexandria database.

## Properties
formation energy without anion corrections = -0.821 eV per atom
electronic total energy = -73.9 eV per cell
size of the total moment = 0.00 Bohr magnetons per cell
symmetry = C2/m, No. 12
calculated volume = 215.66 Å³ per cell

POSCAR file:
```
In3Ag3PdO8
1.0
5.626 -3.249 0.000
5.626 3.249 0.000
-3.762 0.000 5.899
In Ag Pd O
3 3 1 8
direct
0.000 0.000 0.000
0.000 0.500 0.000
0.500 0.000 0.000
0.000 0.500 0.500
0.500 0.000 0.500
0.500 0.500 0.500
0.500 0.500 0.000
0.230 0.230 0.189
0.256 0.716 0.188
0.284 0.284 0.812
0.284 0.744 0.812
0.716 0.256 0.188
0.716 0.716 0.188
0.744 0.284 0.812
0.770 0.770 0.811
```


The following is a PBE calculation of crystalline Ce5Te5S at its relaxed geometry, from the Alexandria database.

## Properties
formation energy without anion corrections = -1.441 eV per atom
electronic total energy = -65.4 eV per cell
size of the total moment = 5.56 Bohr magnetons per cell
symmetry = C2/m, No. 12
calculated volume = 358.93 Å³ per cell

POSCAR file:
```
Ce5Te5S
1.0
6.937 -3.120 0.000
6.937 3.120 0.000
-2.850 0.000 8.291
Ce Te S
5 5 1
direct
0.000 0.000 0.000
0.342 0.342 0.154
0.345 0.345 0.687
0.655 0.655 0.313
0.658 0.658 0.846
0.159 0.159 0.817
0.172 0.172 0.338
0.500 0.500 0.500
0.828 0.828 0.662
0.841 0.841 0.183
0.500 0.500 0.000
```


The following is a PBE calculation of crystalline LuBePt3 at its relaxed geometry, from the Alexandria database.

## Properties
electronic total energy = -30.6 eV per cell
formation enthalpy at 0 K = -406 kJ/mol of formula units
size of the total moment = 0.00 Bohr magnetons per cell
symmetry = Pm-3m, No. 221
calculated volume = 81.33 Å³ per cell

POSCAR file:
```
LuBePt3
1.0
4.333 0.000 0.000
0.000 4.333 0.000
0.000 0.000 4.333
Lu Be Pt
1 1 3
direct
0.000 0.000 0.000
0.500 0.500 0.500
0.000 0.500 0.500
0.500 0.000 0.500
0.500 0.500 0.000
```


The following is a PBE calculation of crystalline Pm3B2IrRh9 at its relaxed geometry, from the Alexandria database.

## Properties
electronic total energy = -109.4 eV per cell
formation enthalpy at 0 K = -649 kJ/mol of formula units
size of the total moment = 0.09 Bohr magnetons per cell
symmetry = P-3m1, No. 164
calculated volume = 255.53 Å³ per cell

POSCAR file:
```
Pm3B2IrRh9
1.0
5.889 0.000 0.000
-2.944 5.100 0.000
0.000 0.000 8.508
Pm B Ir Rh
3 2 1 9
direct
0.000 0.000 0.000
0.333 0.667 0.639
0.667 0.333 0.361
0.333 0.667 0.141
0.667 0.333 0.859
0.000 0.000 0.500
0.000 0.500 0.000
0.169 0.338 0.285
0.169 0.831 0.285
0.338 0.169 0.715
0.500 0.000 0.000
0.500 0.500 0.000
0.662 0.831 0.285
0.831 0.169 0.715
0.831 0.662 0.715
```


The following is a PBE calculation of crystalline Mn2Al2Pt3 at its relaxed geometry, from the Alexandria database.

## Properties
electronic total energy = -48.3 eV per cell
formation enthalpy at 0 K = -417 kJ/mol of formula units
size of the total moment = 8.60 Bohr magnetons per cell
symmetry = C2/m, No. 12
calculated volume = 112.17 Å³ per cell

POSCAR file:
```
Mn2Al2Pt3
1.0
3.716 -2.147 0.000
3.716 2.147 0.000
-2.459 0.000 7.031
Mn Al Pt
2 2 3
direct
0.130 0.130 0.390
0.870 0.870 0.610
0.385 0.385 0.155
0.615 0.615 0.845
0.000 0.000 0.000
0.255 0.255 0.765
0.745 0.745 0.235
```


The following is a PBE calculation of crystalline NdSmAg at its relaxed geometry, from the Alexandria database.

## Properties
electronic total energy = -51.3 eV per cell
formation enthalpy at 0 K = -46 kJ/mol of formula units
size of the total moment = 0.00 Bohr magnetons per cell
ΔE to the lowest computed polymorph = 0.0 meV per atom
symmetry = Pnma, No. 62
calculated volume = 349.73 Å³ per cell

POSCAR file:
```
NdSmAg
1.0
7.178 0.000 0.000
0.000 5.208 0.000
0.000 0.000 9.355
Nd Sm Ag
4 4 4
direct
0.010 0.250 0.186
0.490 0.750 0.686
0.510 0.250 0.314
0.990 0.750 0.814
0.155 0.250 0.581
0.345 0.750 0.081
0.655 0.250 0.919
0.845 0.750 0.419
0.239 0.250 0.901
0.261 0.750 0.401
0.739 0.250 0.599
0.761 0.750 0.099
```


The following is a PBE calculation of crystalline LiCaSiPt at its relaxed geometry, from the Alexandria database.

## Properties
formation energy without anion corrections = -0.771 eV per atom
electronic total energy = -18.5 eV per cell
size of the total moment = 0.00 Bohr magnetons per cell
symmetry = R3m, No. 160
calculated volume = 78.23 Å³ per cell

POSCAR file:
```
LiCaSiPt
1.0
2.117 1.222 5.038
-2.117 1.222 5.038
0.000 -2.445 5.038
Li Ca Si Pt
1 1 1 1
direct
0.000 0.000 0.000
0.802 0.802 0.802
0.269 0.269 0.269
0.601 0.601 0.601
```